# 1
Density functional theory data (GGA-PBE) for a geometry-optimized Ac6Ir2AuS3 structure.

POSCAR file:
```
Ac6Ir2AuS3
1.0
7.4771 -0.0031 -0.0019
-3.7394 6.4749 -0.0019
-1.2486 -2.1619 7.5709
Ac Ir Au S
6 2 1 3
Cartesian
3.8048 2.0337 5.7858 Ac
2.4244 4.1977 1.7952 Ac
-1.3158 2.2761 1.7813 Ac
-0.1399 4.3120 5.7858 Ac
0.0647 0.1121 5.7719 Ac
2.6290 -0.0022 1.7813 Ac
0.0020 4.3141 -0.0019 Ir
3.7357 2.1577 -0.0019 Ir
0.0000 0.0000 0.0000 Au
-2.5131 4.3251 3.7836 S
5.0022 -0.0153 3.7836 S
1.2445 2.1549 3.7836 S
```

Values from the calculation:
Its density of states at the Fermi level is 0.5124 states/eV per atom. For the uncorrected formation energy, the calculation gives -16.0 eV per formula unit. Its total energy is -74.02 eV per cell.


# 2
Density functional theory data (GGA-PBE) for a geometry-optimized Ac8Ir3AuS4 structure.

POSCAR file:
```
Ac8Ir3AuS4
1.0
8.6009 0.0000 0.0000
0.0000 9.0296 0.2918
-4.3005 -4.2934 6.0872
Ac Ir Au S
8 3 1 4
Cartesian
-2.0769 2.4171 6.2106 Ac
0.0000 4.4896 3.2710 Ac
0.0000 0.2182 3.1931 Ac
2.0769 2.4171 6.2106 Ac
2.2236 2.3192 0.1684 Ac
4.3005 4.5180 3.1859 Ac
4.3005 0.2467 3.1080 Ac
6.3774 2.3192 0.1684 Ac
4.3005 4.5148 0.1459 Ir
2.1502 2.3681 3.1895 Ir
-2.1502 2.3681 3.1895 Ir
0.0000 4.5148 0.1459 Au
4.3005 0.0000 0.0000 S
2.1502 -2.1467 3.0436 S
0.0000 0.0000 0.0000 S
-2.1502 -2.1467 3.0436 S
```

Values from the calculation:
Its density of states at the Fermi level is 0.6391 states/eV per atom. For the uncorrected formation energy, the calculation gives -21.0 eV per formula unit. Its total energy is -100.28 eV per cell.


What did the first record say?
Density functional theory data (GGA-PBE) for a geometry-optimized Ac6Ir2AuS3 structure.

POSCAR file:
```
Ac6Ir2AuS3
1.0
7.4771 -0.0031 -0.0019
-3.7394 6.4749 -0.0019
-1.2486 -2.1619 7.5709
Ac Ir Au S
6 2 1 3
Cartesian
3.8048 2.0337 5.7858 Ac
2.4244 4.1977 1.7952 Ac
-1.3158 2.2761 1.7813 Ac
-0.1399 4.3120 5.7858 Ac
0.0647 0.1121 5.7719 Ac
2.6290 -0.0022 1.7813 Ac
0.0020 4.3141 -0.0019 Ir
3.7357 2.1577 -0.0019 Ir
0.0000 0.0000 0.0000 Au
-2.5131 4.3251 3.7836 S
5.0022 -0.0153 3.7836 S
1.2445 2.1549 3.7836 S
```

Values from the calculation:
Its density of states at the Fermi level is 0.5124 states/eV per atom. For the uncorrected formation energy, the calculation gives -16.0 eV per formula unit. Its total energy is -74.02 eV per cell.


Question: What is the formula in the first record?
Answer: Ac6Ir2AuS3


Question: Which of these has the lowest density of states at the Fermi level?
Answer: Ac6Ir2AuS3


Question: density of states at the Fermi level of number 2 (Ac8Ir3AuS4)?
Answer: 0.6391 states/eV per atom